Nb5VTc6: relaxed, PBE.

POSCAR file:
```
Nb5VTc6
1.0
-1.4728 -3.7895 1.8920
3.3787 -3.3963 -4.1724
4.2855 3.6512 5.3348
Tc V Nb
6 1 5
Cartesian
1.9237 -0.9985 4.8120 Tc
4.2677 -2.5361 -1.7575 Tc
1.8128 -4.4572 -2.2019 Tc
3.6292 -2.7129 2.7058 Tc
2.5622 -0.8218 0.3486 Tc
0.0931 -2.7286 -0.0784 Tc
0.0000 0.0000 0.0000 V
5.2070 -1.6590 0.7305 Nb
0.9844 -1.8756 2.3239 Nb
2.7019 -3.5734 0.2602 Nb
3.4895 0.0388 2.7942 Nb
1.6894 -1.6981 -2.0862 Nb
```

**E_form**: -330 meV per atom
**Crystal system**: orthorhombic

=====

Nb6VTc2: relaxed, PBE.

POSCAR file:
```
Nb6VTc2
1.0
3.0654 0.0000 0.0000
1.5327 5.4264 0.4449
1.5327 1.5429 9.8095
Tc Nb V
2 6 1
Cartesian
4.5981 6.1888 7.3600 Tc
1.5327 0.7805 2.8943 Tc
3.0654 4.8180 5.6118 Nb
1.5327 4.1027 2.8054 Nb
3.0654 2.1513 4.6425 Nb
4.5981 2.8666 7.4490 Nb
3.0654 2.2506 1.2771 Nb
3.0654 4.7187 8.9772 Nb
0.0000 0.0000 0.0000 V
```

**E_form**: 254 meV per atom
**Crystal system**: monoclinic

=====

Nb6VTc: relaxed, PBE.

POSCAR file:
```
Nb6VTc
1.0
5.6322 -0.8182 -0.9255
-1.4285 5.5092 -0.9255
-1.4285 -1.5940 5.3541
Nb V Tc
6 1 1
Cartesian
2.7949 -0.4300 3.0894 Nb
2.7949 3.1188 -0.0479 Nb
-0.0196 3.5269 0.4137 Nb
-0.7326 2.7312 3.0894 Nb
3.5079 0.3657 0.4137 Nb
-0.0196 -0.0219 3.5510 Nb
1.3876 1.5485 1.7515 V
0.0000 0.0000 0.0000 Tc
```

**E_form**: 130 meV per atom
**Distance to the lowest polymorph of the same formula**: 234 meV per atom
**Crystal system**: trigonal

=====

Nb2VTc: relaxed, PBE.

POSCAR file:
```
Nb2VTc
1.0
-2.4880 -0.6424 -3.6937
-1.1980 -4.1651 -1.2093
-4.2895 -1.3058 0.3758
Nb Tc V
2 1 1
Cartesian
-1.9939 -1.5283 -1.1318 Nb
-5.9816 -4.5850 -3.3954 Nb
-3.9877 -3.0567 -2.2636 Tc
0.0000 0.0000 0.0000 V
```

**E_form**: -194 meV per atom
**Distance to the lowest polymorph of the same formula**: 16 meV per atom
**Crystal system**: cubic

=====

Nb3VTc: relaxed, PBE.

POSCAR file:
```
Nb3VTc
1.0
-3.1720 1.7072 2.8302
-0.5221 -4.1322 1.9074
3.2637 0.9982 3.0558
Tc V Nb
1 1 3
Cartesian
-0.2152 -0.7134 3.8967 Tc
0.0000 0.0000 0.0000 V
-0.2610 -2.0661 0.9537 Nb
1.6319 0.4991 1.5279 Nb
-1.5860 0.8536 1.4151 Nb
```

**E_form**: 1183 meV per atom
**Distance to the lowest polymorph of the same formula**: 1341 meV per atom
**Crystal system**: cubic

=====

Nb2VTc: relaxed, PBE.

POSCAR file:
```
Nb2VTc
1.0
3.1730 0.0000 0.0000
0.0000 3.1730 0.0000
0.0000 0.0000 6.3839
Nb V Tc
2 1 1
Cartesian
0.0000 0.0000 4.7832 Nb
0.0000 0.0000 1.6008 Nb
1.5865 1.5865 3.1920 V
1.5865 1.5865 0.0000 Tc
```

**E_form**: -210 meV per atom
**Distance to the lowest polymorph of the same formula**: 0 meV per atom
**Crystal system**: tetragonal

=====

NbV3Tc: relaxed, PBE.

POSCAR file:
```
NbV3Tc
1.0
-0.4290 -4.4458 0.8427
2.4508 -0.9398 -3.7108
3.8038 0.1042 2.4859
Nb V Tc
1 3 1
Cartesian
0.0000 0.0000 0.0000 Nb
1.2254 -0.4699 -1.8554 V
-0.2145 -2.2229 0.4214 V
1.9019 0.0521 1.2429 V
2.9128 -2.6407 -0.1911 Tc
```

**E_form**: 1647 meV per atom
**Distance to the lowest polymorph of the same formula**: 1673 meV per atom
**Crystal system**: cubic

=====

Nb2V6Tc: relaxed, PBE.

POSCAR file:
```
Nb2V6Tc
1.0
2.5162 0.0000 0.6628
0.0000 7.9427 0.0000
0.3935 -3.9714 6.8152
V Tc Nb
6 1 2
Cartesian
1.2581 2.5485 0.3314 V
2.6425 1.3361 2.8761 V
1.2581 5.3942 0.3314 V
2.6425 6.6066 2.8761 V
0.2672 -2.6352 4.6019 V
0.2672 2.6352 4.6019 V
0.0000 0.0000 0.0000 Tc
1.1210 0.0000 4.7576 Nb
1.7887 3.9714 2.7204 Nb
```

**E_form**: 93 meV per atom
**Crystal system**: monoclinic

=====

Nb4VTc3: relaxed, PBE.

POSCAR file:
```
Nb4VTc3
1.0
3.1831 0.0000 0.0000
0.0000 3.1831 0.0000
0.0000 0.0000 12.8092
Nb V Tc
4 1 3
Cartesian
0.0000 0.0000 8.0119 Nb
0.0000 0.0000 4.7972 Nb
0.0000 0.0000 11.2128 Nb
0.0000 0.0000 1.5963 Nb
1.5915 1.5915 0.0000 V
1.5915 1.5915 3.2008 Tc
1.5915 1.5915 6.4046 Tc
1.5915 1.5915 9.6084 Tc
```

**E_form**: -276 meV per atom
**Crystal system**: tetragonal

=====

NbV3Tc2: relaxed, PBE.

POSCAR file:
```
NbV3Tc2
1.0
-2.1098 0.3988 -2.1729
-1.7801 -2.0862 1.3456
-3.9977 6.7092 5.1129
V Nb Tc
3 1 2
Cartesian
-2.7149 4.5562 3.4722 V
0.0000 0.0000 0.0000 V
-1.2829 2.1529 1.6407 V
-3.9438 2.5109 2.1429 Nb
-5.2940 4.7768 3.8697 Tc
-2.5937 0.2449 0.4160 Tc
```

**E_form**: -264 meV per atom
**Crystal system**: tetragonal

=====

NbVTc3: relaxed, PBE.

POSCAR file:
```
NbVTc3
1.0
4.4224 0.0000 0.0000
0.0000 4.4224 0.0000
0.0000 0.0000 4.4224
Tc V Nb
3 1 1
Cartesian
2.2112 0.0000 0.0000 Tc
0.0000 0.0000 2.2112 Tc
0.0000 2.2112 0.0000 Tc
0.0000 0.0000 0.0000 V
2.2112 2.2112 2.2112 Nb
```

**E_form**: 907 meV per atom
**Distance to the lowest polymorph of the same formula**: 0 meV per atom
**Crystal system**: cubic

=====

Nb2V9Tc: relaxed, PBE.

POSCAR file:
```
Nb2V9Tc
1.0
5.0414 0.0000 0.0000
2.5207 4.3659 0.0000
2.5207 1.4553 8.0864
Nb V Tc
2 9 1
Cartesian
7.5620 4.3659 3.4950 Nb
2.5207 1.4553 4.5914 Nb
5.0414 2.9106 4.0432 V
6.3057 3.6406 6.0702 V
5.0414 1.4507 6.0702 V
5.0414 4.3706 2.0162 V
3.7770 3.6406 6.0702 V
2.5207 1.4553 0.0198 V
3.7770 2.1807 2.0162 V
6.3057 2.1807 2.0162 V
7.5620 4.3659 8.0666 V
0.0000 0.0000 0.0000 Tc
```

**E_form**: 194 meV per atom
**Crystal system**: trigonal

=====

NbVTc2: relaxed, PBE.

POSCAR file:
```
NbVTc2
1.0
-2.5640 1.6791 -0.6219
-2.4239 -3.6741 0.0730
-0.6915 0.5419 4.3136
V Tc Nb
1 2 1
Cartesian
-2.8396 -0.7265 1.8823 V
-0.3457 0.2709 2.1568 Tc
-1.2119 -1.8370 0.0365 Tc
-1.2820 0.8396 -0.3110 Nb
```

**E_form**: -311 meV per atom
**Crystal system**: tetragonal

=====

NbV4Tc: relaxed, PBE.

POSCAR file:
```
NbV4Tc
1.0
4.9021 -1.0681 0.9371
-3.1620 8.2393 -1.9212
1.5118 0.3161 4.8558
V Tc Nb
8 2 2
Cartesian
2.9708 0.5797 4.8505 V
0.2811 6.9076 -0.9788 V
4.7589 -0.0824 2.9407 V
0.9633 3.1404 0.9163 V
-0.9710 4.7715 -0.0204 V
-1.5070 7.5697 0.9309 V
2.2886 4.3470 2.9554 V
4.2229 2.7158 3.8921 V
2.1006 5.2850 -0.0199 Tc
1.1512 2.2023 3.8916 Tc
2.8580 1.5082 1.9418 Nb
0.3939 5.9792 1.9299 Nb
```

**E_form**: -136 meV per atom
**Distance to the lowest polymorph of the same formula**: 0 meV per atom
**Crystal system**: triclinic

=====

NbV5Tc4: relaxed, PBE.

POSCAR file:
```
NbV5Tc4
1.0
3.0386 0.0000 0.0000
0.0000 3.0386 0.0000
0.0000 0.0000 15.4401
V Tc Nb
5 4 1
Cartesian
1.5193 1.5193 1.6948 V
1.5193 1.5193 10.7328 V
1.5193 1.5193 13.7453 V
1.5193 1.5193 7.7200 V
1.5193 1.5193 4.7073 V
0.0000 0.0000 3.1752 Tc
0.0000 0.0000 9.2327 Tc
0.0000 0.0000 6.2073 Tc
0.0000 0.0000 12.2649 Tc
0.0000 0.0000 0.0000 Nb
```

**E_form**: -304 meV per atom
**Crystal system**: tetragonal

=====

Nb2VTc: relaxed, PBE.

POSCAR file:
```
Nb2VTc
1.0
-1.9989 -2.4810 -0.0298
0.9725 -0.8352 4.3049
-3.3599 2.6917 1.2812
Tc V Nb
1 1 2
Cartesian
-0.9995 -1.2405 -0.0149 Tc
-2.1932 -0.3123 2.7782 V
0.4862 -0.4176 2.1525 Nb
-1.6799 1.3458 0.6406 Nb
```

**E_form**: -199 meV per atom
**Distance to the lowest polymorph of the same formula**: 11 meV per atom
**Crystal system**: tetragonal

=====

NbV4Tc: relaxed, PBE.

POSCAR file:
```
NbV4Tc
1.0
-2.4556 1.2581 -4.1433
0.8409 -2.4707 -4.2389
-3.4871 -3.0355 -1.8453
V Nb Tc
4 1 1
Cartesian
-1.9598 -3.2863 -4.3191 V
-3.1898 -2.6561 -6.3945 V
-1.4431 -1.1356 -5.4702 V
-3.6110 -1.4185 -4.2713 V
-1.2755 -1.0621 -2.5569 Nb
0.0000 0.0000 0.0000 Tc
```

**E_form**: -59 meV per atom
**Distance to the lowest polymorph of the same formula**: 77 meV per atom
**Crystal system**: cubic

=====

NbV2Tc2: relaxed, PBE.

POSCAR file:
```
NbV2Tc2
1.0
3.0881 0.0000 0.0000
0.0000 3.1033 0.5880
0.0000 0.0852 8.0334
Nb V Tc
1 2 2
Cartesian
0.0000 0.0000 0.0000 Nb
0.0000 0.6438 5.0857 V
0.0000 2.5448 3.5357 V
1.5440 1.2445 1.9149 Tc
1.5440 1.9440 6.7065 Tc
```

**E_form**: 27 meV per atom
**Distance to the lowest polymorph of the same formula**: 0 meV per atom
**Crystal system**: orthorhombic

=====

Nb2VTc: relaxed, PBE.

POSCAR file:
```
Nb2VTc
1.0
7.1209 0.0000 0.0000
0.0000 7.1209 0.0000
3.5604 3.5604 2.7250
Nb V Tc
4 2 2
Cartesian
1.7197 5.3407 0.6813 Nb
5.3407 5.2801 2.0438 Nb
5.4012 1.7802 0.6813 Nb
8.9011 8.9617 2.0438 Nb
3.5604 3.5604 0.0000 V
3.5604 7.1209 1.3625 V
7.1209 3.5604 1.3625 Tc
0.0000 0.0000 0.0000 Tc
```

**E_form**: 510 meV per atom
**Distance to the lowest polymorph of the same formula**: 720 meV per atom
**Crystal system**: tetragonal

=====

NbVTc2: relaxed, PBE.

POSCAR file:
```
NbVTc2
1.0
-1.4180 0.9498 -2.6047
1.0816 -2.5042 -1.5020
-5.1159 -3.1837 1.6241
Tc V Nb
2 1 1
Cartesian
-1.2176 -0.7577 0.3865 Tc
-3.8983 -2.4260 1.2376 Tc
-0.1682 -0.7772 -2.0533 V
-2.7261 -2.3690 -1.2413 Nb
```

**E_form**: -318 meV per atom
**Crystal system**: tetragonal

=====

NbV2Tc3: relaxed, PBE.

POSCAR file:
```
NbV2Tc3
1.0
-2.5618 -0.2419 -1.7067
0.0279 -3.0626 0.3923
-5.1658 0.9292 7.6220
V Tc Nb
2 3 1
Cartesian
-2.1017 -1.5021 0.5744 V
-5.5980 -0.8732 5.7332 V
-1.6672 0.2999 2.4599 Tc
-3.4986 0.6293 5.1621 Tc
0.0000 0.0000 0.0000 Tc
-3.8498 -1.1877 3.1538 Nb
```

**E_form**: -329 meV per atom
**Crystal system**: tetragonal

=====

NbVTcW: relaxed, PBE.

POSCAR file:
```
NbVTcW
1.0
3.1382 0.0000 0.0000
0.0000 3.1382 0.0000
0.0000 0.0000 6.3088
Nb W V Tc
1 1 1 1
Cartesian
1.5691 1.5691 0.7015 Nb
0.0000 0.0000 5.3286 W
1.5691 1.5691 3.8155 V
0.0000 0.0000 2.3175 Tc
```

**E_form**: -184 meV per atom
**Distance to the lowest polymorph of the same formula**: 0 meV per atom
**Crystal system**: tetragonal

=====

NbVTcW: relaxed, PBE.

POSCAR file:
```
NbVTcW
1.0
4.4424 0.0000 0.0000
2.2212 3.8473 0.0000
2.2212 1.2824 3.6272
Nb V Tc W
1 1 1 1
Cartesian
0.0000 0.0000 0.0000 Nb
6.6636 3.8473 2.7204 V
2.2212 1.2824 0.9068 Tc
4.4424 2.5648 1.8136 W
```

**E_form**: -170 meV per atom
**Distance to the lowest polymorph of the same formula**: 14 meV per atom
**Crystal system**: cubic

=====

Zr2NbVTc: relaxed, PBE.

POSCAR file:
```
Zr2NbVTc
1.0
-2.3364 2.5478 -3.5677
-3.6033 -3.0860 0.1559
-2.2358 2.7850 3.4530
V Nb Zr Tc
1 1 2 1
Cartesian
-4.0877 1.1234 0.0206 V
-1.8016 -1.5430 0.0779 Nb
-1.1682 1.2739 -1.7838 Zr
-1.1179 1.3925 1.7265 Zr
0.0000 0.0000 0.0000 Tc
```

**E_form**: 1043 meV per atom
**Crystal system**: tetragonal

=====

Nb6TcW2: relaxed, PBE.

POSCAR file:
```
Nb6TcW2
1.0
4.3958 0.0000 -0.1738
0.0000 6.2893 0.0000
-1.9431 -3.1447 6.7174
Nb Tc W
6 1 2
Cartesian
2.3697 1.5867 4.3531 Nb
0.0830 4.7313 2.1906 Nb
2.3697 -1.5867 4.3531 Nb
2.1979 1.5605 -0.0869 Nb
2.1979 4.7288 -0.0869 Nb
0.0830 1.5580 2.1906 Nb
0.0000 0.0000 0.0000 Tc
2.2814 3.1447 2.1142 W
0.1713 0.0000 4.4295 W
```

**E_form**: 584 meV per atom
**Distance to the lowest polymorph of the same formula**: 480 meV per atom
**Crystal system**: monoclinic

=====

NbTcW2: relaxed, PBE.

POSCAR file:
```
NbTcW2
1.0
3.1897 0.0000 0.0000
0.0000 4.5041 0.0000
0.0000 0.0000 4.5041
W Nb Tc
2 1 1
Cartesian
0.0000 0.0000 2.2521 W
0.0000 2.2521 0.0000 W
1.5948 0.0000 0.0000 Nb
1.5948 2.2521 2.2521 Tc
```

**E_form**: -39 meV per atom
**Distance to the lowest polymorph of the same formula**: 49 meV per atom
**Crystal system**: tetragonal